A relaxed Y3Zn crystal. Source: Alexandria via LeMat-Bulk, functional PBE-GGA.

Cell: 10.5297 10.5297 10.5297 Å, 19.67 19.67 19.67°
Fractional coordinates of all 4 atoms:
Y 0.0000 0.0000 0.0000
Y 0.2385 0.2385 0.2385
Y 0.7615 0.7615 0.7615
Zn 0.5000 0.5000 0.5000

Computed properties:
- Magnetization: 0.000 μB/f.u.
- N(E_F): 4.441 states/eV/f.u.
- Total energy: -20.93 eV per formula unit
- Space group: R-3m